Record 1
This record from the Alexandria database describes a relaxed structure of ZnRe2Au. The functional is PBE.

a b c (Å): 9.355 9.355 9.355
angles (deg): 17.13 17.13 17.13
Positions (direct):
Zn  0.000  0.000  0.000
Re  0.253  0.253  0.253
Re  0.747  0.747  0.747
Au  0.500  0.500  0.500

Summary:
As for the crystal system: trigonal. The calculated formation energy comes out at 0.45 eV/atom. The density of states at the Fermi level is 6.78 states/eV/cell.

***

Record 2
This record from the Alexandria database describes a relaxed structure of Li2TlSe2. The functional is PBE.

a b c (Å): 8.125 8.125 3.158
angles (deg): 90.00 90.00 90.00
Positions (direct):
Li  0.126  0.374  0.000
Li  0.374  0.874  0.000
Li  0.626  0.126  0.000
Li  0.874  0.626  0.000
Tl  0.000  0.000  0.000
Tl  0.500  0.500  0.000
Se  0.167  0.667  0.500
Se  0.333  0.167  0.500
Se  0.667  0.833  0.500
Se  0.833  0.333  0.500

Summary:
As for the crystal system: tetragonal. The density of states at the Fermi level is 1.35 states/eV/cell. The energy relative to the elements, uncorrected is -711 meV per atom.

***

Record 3
This record from the Alexandria database describes a relaxed structure of TiRePd2. The functional is PBE.

a b c (Å): 9.598 9.598 9.598
angles (deg): 157.34 157.34 32.26
Positions (direct):
Ti  0.000  0.000  0.000
Ti  0.750  0.250  0.500
Re  0.250  0.750  0.500
Re  0.500  0.500  0.000
Pd  0.126  0.625  0.001
Pd  0.375  0.376  0.501
Pd  0.624  0.125  0.999
Pd  0.875  0.874  0.499

Summary:
As for the crystal system: tetragonal. The calculated formation energy comes out at 0.22 eV/atom. The density of states at the Fermi level is 7.73 states/eV/cell.

***

Record 4
This record from the Alexandria database describes a relaxed structure of HfCrN3. The functional is PBE.

a b c (Å): 3.670 3.670 3.670
angles (deg): 90.00 90.00 90.00
Positions (direct):
Hf  0.000  0.000  0.000
Cr  0.500  0.500  0.500
N  0.000  0.500  0.500
N  0.500  0.000  0.500
N  0.500  0.500  0.000

Summary:
As for the crystal system: cubic. The density of states at the Fermi level is 2.35 states/eV/cell. The energy relative to the elements, uncorrected is -188 meV per atom.

***

Record 5
This record from the Alexandria database describes a relaxed structure of Ho11Zn9Cu4. The functional is PBE.

a b c (Å): 12.447 12.447 3.586
angles (deg): 90.00 90.00 112.54
Positions (direct):
Ho  0.000  0.000  0.000
Ho  0.073  0.414  0.000
Ho  0.167  0.833  0.000
Ho  0.286  0.286  0.000
Ho  0.363  0.637  0.000
Ho  0.414  0.073  0.000
Ho  0.586  0.927  0.000
Ho  0.637  0.363  0.000
Ho  0.714  0.714  0.000
Ho  0.833  0.167  0.000
Ho  0.927  0.586  0.000
Zn  0.066  0.213  0.500
Zn  0.158  0.632  0.500
Zn  0.213  0.066  0.500
Zn  0.368  0.842  0.500
Zn  0.500  0.500  0.500
Zn  0.632  0.158  0.500
Zn  0.787  0.934  0.500
Zn  0.842  0.368  0.500
Zn  0.934  0.787  0.500
Cu  0.256  0.450  0.500
Cu  0.450  0.256  0.500
Cu  0.550  0.744  0.500
Cu  0.744  0.550  0.500

Summary:
As for the crystal system: orthorhombic. The calculated formation energy comes out at -0.30 eV/atom. The density of states at the Fermi level is 17.82 states/eV/cell.

***

Record 6
This record from the Alexandria database describes a relaxed structure of EuScAgGe. The functional is PBE.

a b c (Å): 5.047 5.047 5.047
angles (deg): 60.00 60.00 60.00
Positions (direct):
Eu  0.000  0.000  0.000
Sc  0.500  0.500  0.500
Ag  0.750  0.750  0.750
Ge  0.250  0.250  0.250

Summary:
As for the crystal system: cubic. The calculated formation energy comes out at -0.44 eV/atom. The density of states at the Fermi level is 5.76 states/eV/cell.

***

Record 7
This record from the Alexandria database describes a relaxed structure of PaMnBi2. The functional is PBE.

a b c (Å): 4.991 4.991 4.086
angles (deg): 90.00 90.00 90.00
Positions (direct):
Pa  0.000  0.000  0.000
Mn  0.500  0.500  0.000
Bi  0.000  0.500  0.500
Bi  0.500  0.000  0.500

Summary:
As for the crystal system: tetragonal. The calculated formation energy comes out at 0.08 eV/atom. The density of states at the Fermi level is 4.99 states/eV/cell.

***

Record 8
This record from the Alexandria database describes a relaxed structure of ZrSb2Rh2. The functional is PBE.

a b c (Å): 7.611 7.611 3.295
angles (deg): 90.00 90.00 90.00
Positions (direct):
Zr  0.000  0.000  0.000
Zr  0.500  0.500  0.000
Sb  0.169  0.331  0.500
Sb  0.331  0.831  0.500
Sb  0.669  0.169  0.500
Sb  0.831  0.669  0.500
Rh  0.129  0.629  0.000
Rh  0.371  0.129  0.000
Rh  0.629  0.871  0.000
Rh  0.871  0.371  0.000

Summary:
As for the crystal system: tetragonal. The density of states at the Fermi level is 4.03 states/eV/cell. The energy relative to the elements, uncorrected is -378 meV per atom.

***

Record 9
This record from the Alexandria database describes a relaxed structure of Pr2MnZnSe5. The functional is PBE.

a b c (Å): 9.040 9.040 12.035
angles (deg): 90.00 90.00 153.91
Positions (direct):
Pr  0.114  0.886  0.500
Pr  0.131  0.869  0.116
Pr  0.869  0.131  0.616
Pr  0.886  0.114  0.000
Mn  0.204  0.796  0.826
Mn  0.796  0.204  0.326
Zn  0.438  0.562  0.271
Zn  0.562  0.438  0.771
Se  0.049  0.951  0.879
Se  0.287  0.713  0.474
Se  0.310  0.690  0.166
Se  0.353  0.647  0.812
Se  0.498  0.502  0.592
Se  0.502  0.498  0.092
Se  0.647  0.353  0.312
Se  0.690  0.310  0.666
Se  0.713  0.287  0.974
Se  0.951  0.049  0.379

Summary:
As for the crystal system: orthorhombic. The density of states at the Fermi level is 0.06 states/eV/cell. The energy relative to the elements, uncorrected is -1278 meV per atom.

***

Record 10
This record from the Alexandria database describes a relaxed structure of ZnSb2Pt. The functional is PBE.

a b c (Å): 5.849 5.849 5.849
angles (deg): 139.31 139.31 58.91
Positions (direct):
Zn  0.000  0.000  0.000
Sb  0.500  0.500  0.000
Sb  0.750  0.250  0.500
Pt  0.250  0.750  0.500

Summary:
As for the crystal system: tetragonal. The density of states at the Fermi level is 2.27 states/eV/cell. The energy relative to the elements, uncorrected is 110 meV per atom.

***

Record 11
This record from the Alexandria database describes a relaxed structure of Li3SnRh3O8. The functional is PBE.

a b c (Å): 6.089 6.089 6.089
angles (deg): 61.17 61.17 61.17
Positions (direct):
Li  0.000  0.500  0.500
Li  0.500  0.000  0.500
Li  0.500  0.500  0.000
Sn  0.500  0.500  0.500
Rh  0.000  0.000  0.500
Rh  0.000  0.500  0.000
Rh  0.500  0.000  0.000
O  0.240  0.240  0.240
O  0.243  0.740  0.740
O  0.260  0.260  0.757
O  0.260  0.757  0.260
O  0.740  0.243  0.740
O  0.740  0.740  0.243
O  0.757  0.260  0.260
O  0.760  0.760  0.760

Summary:
As for the crystal system: trigonal. The energy relative to the elements, uncorrected is -1239 meV per atom.

***

Record 12
This record from the Alexandria database describes a relaxed structure of RbGaAu3. The functional is PBE.

a b c (Å): 5.107 5.107 5.107
angles (deg): 90.00 90.00 90.00
Positions (direct):
Rb  0.000  0.000  0.000
Ga  0.500  0.500  0.500
Au  0.000  0.500  0.500
Au  0.500  0.000  0.500
Au  0.500  0.500  0.000

Summary:
As for the crystal system: cubic. The calculated formation energy comes out at -0.15 eV/atom. The density of states at the Fermi level is 1.40 states/eV/cell.

***

| no. | VASP energy (eV per atom) | spin magnetization (μB/cell) |
| --- | --- | --- |
| 1 | -6.92 | 0.000 |
| 2 | -3.34 | 0.000 |
| 3 | -7.46 | 0.000 |
| 4 | -9.10 | 0.000 |
| 5 | -3.56 | 0.000 |
| 6 | -6.46 | 7.283 |
| 7 | -6.53 | 3.617 |
| 8 | -6.68 | 0.000 |
| 9 | -5.44 | 10.002 |
| 10 | -3.78 | 0.000 |
| 11 | -6.00 | 0.000 |
| 12 | -2.91 | 0.000 |